Computed, not measured: an optimized crystal structure of TaMn4Co at the PBE-GGA level of DFT.

a b c (Å): 4.686 4.686 4.686
angles (deg): 60.00 60.00 60.00
Fractional positions:
Co 0.000 0.000 0.000
Mn 0.627 0.627 0.627
Mn 0.119 0.627 0.627
Mn 0.627 0.627 0.119
Mn 0.627 0.119 0.627
Ta 0.250 0.250 0.250

## Properties
Crystal system: cubic

---

Computed, not measured: an optimized crystal structure of Ta2MnCo at the PBE-GGA level of DFT.

a b c (Å): 7.947 7.947 7.947
angles (deg): 21.69 21.69 21.69
Fractional positions:
Ta 0.000 0.000 0.000
Ta 0.500 0.500 0.500
Mn 0.750 0.750 0.750
Co 0.250 0.250 0.250

## Properties
Crystal system: trigonal

---

Computed, not measured: an optimized crystal structure of Ta2MnCo at the PBE-GGA level of DFT.

a b c (Å): 3.124 3.124 6.141
angles (deg): 90.00 90.00 90.00
Fractional positions:
Mn 0.500 0.500 0.739
Co 0.000 0.000 0.507
Ta 0.500 0.500 0.276
Ta 0.000 0.000 0.977

## Properties
Crystal system: tetragonal

---

Computed, not measured: an optimized crystal structure of TaMn2Co at the PBE-GGA level of DFT.

a b c (Å): 4.201 4.201 4.201
angles (deg): 60.00 60.00 60.00
Fractional positions:
Ta 0.500 0.500 0.500
Mn 0.750 0.750 0.750
Mn 0.250 0.250 0.250
Co 0.000 0.000 0.000

## Properties
Crystal system: cubic

---

no.,DFT total energy (eV/atom)
1,-9.280
2,-9.793
3,-10.063
4,-9.337